Here is LiCe3Pt3 after structural relaxation from Alexandria via LeMat-Bulk. Energies are from GGA-PBE.

The calculation puts the energy relative to the elements at -0.8064 eV/atom.

Cell: 6.850 6.850 7.467 Å, 92.05 92.05 114.42°
Site moments in Bohr magnetons follow the coordinates.
Positions (direct):
Li 0.713 0.713 0.972  0.01
Li 0.287 0.287 0.028  0.01
Ce 0.626 0.626 0.366  0.72
Ce 0.184 0.816 0.500  0.35
Ce 0.816 0.184 0.500  0.35
Ce 0.217 0.783 0.000  0.66
Ce 0.783 0.217 0.000  0.66
Ce 0.374 0.374 0.634  0.72
Pt 0.983 0.983 0.222  -0.02
Pt 0.843 0.539 0.726  -0.01
Pt 0.539 0.843 0.726  -0.01
Pt 0.157 0.461 0.274  -0.01
Pt 0.461 0.157 0.274  -0.01
Pt 0.017 0.017 0.778  -0.02

---

Here is Li4CePt2 after structural relaxation from Alexandria via LeMat-Bulk. Energies are from GGA-PBE.

The calculation puts the energy relative to the elements at -0.5626 eV/atom.

Cell: 4.132 7.666 7.666 Å, 90.00 90.00 90.00°
Site moments in Bohr magnetons follow the coordinates.
Positions (direct):
Li 0.000 0.101 0.351  0.00
Li 0.000 0.899 0.649  0.00
Li 0.500 0.149 0.601  0.00
Li 0.500 0.851 0.399  0.00
Li 0.500 0.399 0.851  0.00
Li 0.500 0.601 0.149  0.00
Li 0.000 0.351 0.101  0.00
Li 0.000 0.649 0.899  0.00
Ce 0.500 0.000 0.000  0.68
Ce 0.000 0.500 0.500  0.68
Pt 0.000 0.200 0.800  -0.01
Pt 0.000 0.800 0.200  -0.01
Pt 0.500 0.700 0.700  -0.01
Pt 0.500 0.300 0.300  -0.01

---

Here is LiCePt after structural relaxation from Alexandria via LeMat-Bulk. Energies are from GGA-PBE.

The distance to the lowest polymorph of the same formula comes out at 204 meV per atom. The calculation puts the energy relative to the elements at -0.5465 eV/atom.

Cell: 4.691 4.691 4.691 Å, 60.00 60.00 60.00°
Site moments in Bohr magnetons follow the coordinates.
Positions (direct):
Ce 0.500 0.500 0.500  0.82
Pt 0.250 0.250 0.250  0.00
Li 0.000 0.000 0.000  0.02

---

Here is LiCe5Pt4 after structural relaxation from Alexandria via LeMat-Bulk. Energies are from GGA-PBE.

The calculation puts the energy relative to the elements at -0.7291 eV/atom.

Cell: 4.478 6.790 9.631 Å, 124.59 103.44 90.00°
Site moments in Bohr magnetons follow the coordinates.
Positions (direct):
Li 0.500 0.000 0.000  0.00
Ce 0.834 0.661 0.668  0.47
Ce 0.838 0.242 0.676  0.42
Ce 0.162 0.758 0.324  0.42
Ce 0.500 0.500 0.000  0.32
Ce 0.166 0.339 0.332  0.47
Pt 0.344 0.960 0.687  -0.01
Pt 0.013 0.805 0.027  -0.02
Pt 0.656 0.040 0.313  -0.01
Pt 0.987 0.195 0.973  -0.02

---

Here is Li3CePt2 after structural relaxation from Alexandria via LeMat-Bulk. Energies are from GGA-PBE.

The distance to the lowest polymorph of the same formula comes out at 289 meV per atom. The calculation puts the energy relative to the elements at -0.3532 eV/atom.

Cell: 4.625 5.928 8.174 Å, 111.26 106.43 90.00°
Site moments in Bohr magnetons follow the coordinates.
Positions (direct):
Li 0.500 0.250 0.000  0.04
Li 0.500 0.750 0.000  0.04
Li 0.797 0.047 0.593  0.00
Li 0.203 0.453 0.407  0.00
Li 0.203 0.953 0.407  0.00
Li 0.797 0.547 0.593  0.00
Ce 0.000 0.500 0.000  1.12
Ce 0.000 0.000 0.000  1.12
Pt 0.360 0.360 0.721  0.01
Pt 0.640 0.140 0.279  0.01
Pt 0.360 0.860 0.721  0.01
Pt 0.640 0.640 0.279  0.01

---

Here is Li5Ce4Pt6 after structural relaxation from Alexandria via LeMat-Bulk. Energies are from GGA-PBE.

The calculation puts the energy relative to the elements at -0.7331 eV/atom.

Cell: 4.040 10.260 14.962 Å, 90.00 90.00 101.35°
Site moments in Bohr magnetons follow the coordinates.
Positions (direct):
Li 0.433 0.866 0.674  0.01
Li 0.567 0.134 0.174  0.01
Li 0.157 0.313 0.628  0.00
Li 0.843 0.687 0.128  0.00
Li 0.644 0.289 0.496  0.00
Li 0.356 0.711 0.996  0.00
Li 0.301 0.602 0.616  0.01
Li 0.699 0.398 0.116  0.01
Li 0.338 0.675 0.257  0.01
Li 0.662 0.325 0.757  0.01
Ce 0.971 0.942 0.272  0.61
Ce 0.029 0.058 0.772  0.61
Ce 0.162 0.325 0.305  0.46
Ce 0.838 0.675 0.805  0.46
Ce 0.815 0.631 0.438  0.41
Ce 0.185 0.369 0.938  0.41
Ce 0.004 0.008 0.513  0.65
Ce 0.996 0.992 0.013  0.65
Pt 0.760 0.520 0.265  -0.02
Pt 0.420 0.840 0.406  -0.02
Pt 0.779 0.559 0.979  -0.02
Pt 0.221 0.441 0.479  -0.02
Pt 0.440 0.879 0.859  -0.02
Pt 0.560 0.121 0.359  -0.02
Pt 0.438 0.877 0.135  -0.02
Pt 0.562 0.123 0.635  -0.02
Pt 0.119 0.239 0.112  -0.01
Pt 0.881 0.761 0.612  -0.01
Pt 0.580 0.160 0.906  -0.02
Pt 0.240 0.480 0.765  -0.02